Record 1
A relaxed Y2ThSc2 crystal, computed with PBE.

The structure in POSCAR format:
```
Y2ThSc2
1.0
3.138 -3.138 0.000
3.138 3.138 0.000
-3.138 0.000 7.706
Sc Y Th
2 2 1
Direct
0.592 0.592 0.184
0.408 0.408 0.816
0.750 0.250 0.500
0.250 0.750 0.500
0.000 0.000 0.000
```

- Energy above the most stable polymorph in this dataset: 24 meV per atom
- Size of the total moment: 0.10 μB per cell
- Space-group type: I4/mmm (139)

Record 2
A relaxed Cd2Os2O5 crystal, computed with PBE.

The structure in POSCAR format:
```
Cd2Os2O5
1.0
9.855 0.000 0.000
0.000 3.385 0.000
0.000 0.000 3.385
Os O Cd
2 5 2
Direct
0.500 0.000 0.000
0.000 0.000 0.000
0.116 0.500 0.000
0.500 0.500 0.500
0.884 0.500 0.000
0.116 0.000 0.500
0.884 0.000 0.500
0.270 0.500 0.500
0.730 0.500 0.500
```

- Energy above the most stable polymorph in this dataset: 371 meV per atom
- Size of the total moment: 2.28 μB per cell
- Space-group type: P4/mmm (123)

Record 3
A relaxed Na3AgF crystal, computed with PBE.

The structure in POSCAR format:
```
Na3AgF
1.0
4.585 0.000 0.000
0.000 4.585 0.000
0.000 0.000 4.585
Ag Na F
1 3 1
Direct
0.000 0.000 0.000
0.000 0.500 0.500
0.500 0.500 0.000
0.500 0.000 0.500
0.500 0.500 0.500
```

- Space-group type: Pm-3m (221)

Record 4
A relaxed ZnFeCuBi crystal, computed with PBE.

The structure in POSCAR format:
```
ZnFeCuBi
1.0
0.000 3.214 3.214
3.214 0.000 3.214
3.214 3.214 0.000
Zn Cu Bi Fe
1 1 1 1
Direct
0.250 0.250 0.250
0.750 0.750 0.750
0.000 0.000 0.000
0.500 0.500 0.500
```

- Energy above the most stable polymorph in this dataset: 115 meV per atom
- Size of the total moment: 2.46 μB per cell
- Space-group type: F-43m (216)

Record 5
A relaxed NaSm crystal, computed with PBE.

The structure in POSCAR format:
```
NaSm
1.0
0.000 3.527 3.527
3.527 0.000 3.527
3.527 3.527 0.000
Na Sm
1 1
Direct
0.000 0.000 0.000
0.250 0.250 0.250
```

- Energy above the most stable polymorph in this dataset: 1226 meV per atom
- Size of the total moment: 0.57 μB per cell
- Space-group type: F-43m (216)

Record 6
A relaxed Li3CdN crystal, computed with PBE.

The structure in POSCAR format:
```
Li3CdN
1.0
4.059 0.000 0.000
0.000 4.059 0.000
0.000 0.000 4.059
Cd Li N
1 3 1
Direct
0.000 0.000 0.000
0.000 0.500 0.500
0.500 0.500 0.000
0.500 0.000 0.500
0.500 0.500 0.500
```

- Space-group type: Pm-3m (221)

Record 7
A relaxed La2Ni17 crystal, computed with PBE.

The structure in POSCAR format:
```
La2Ni17
1.0
-4.889 -3.817 1.150
3.183 -5.432 -0.390
1.038 -0.706 6.182
Ni La
17 2
Direct
0.343 0.343 0.848
0.343 0.848 0.343
0.902 0.902 0.902
0.000 0.712 0.288
0.657 0.152 0.657
0.657 0.657 0.152
0.000 0.500 0.000
0.098 0.098 0.098
0.288 0.712 0.000
0.712 0.288 0.000
0.712 0.000 0.288
0.000 0.288 0.712
0.500 0.000 0.000
0.000 0.000 0.500
0.848 0.343 0.343
0.288 0.000 0.712
0.152 0.657 0.657
0.341 0.341 0.341
0.659 0.659 0.659
```

- Size of the total moment: 6.36 μB per cell
- Space-group type: R-3m (166)

Record 8
A relaxed B2W4C crystal, computed with PBE.

The structure in POSCAR format:
```
B2W4C
1.0
5.645 0.000 0.000
0.000 9.650 0.000
0.000 0.000 3.094
W B C
8 4 2
Direct
0.254 0.552 0.500
0.389 0.294 0.000
0.746 0.448 0.500
0.611 0.706 0.000
0.111 0.794 0.000
0.889 0.206 0.000
0.754 0.948 0.500
0.246 0.052 0.500
0.904 0.668 0.500
0.596 0.168 0.500
0.096 0.332 0.500
0.404 0.832 0.500
0.000 0.000 0.000
0.500 0.500 0.000
```

- Energy above the most stable polymorph in this dataset: 41 meV per atom
- Size of the total moment: 0.00 μB per cell
- Space-group type: Pbam (55)

In the order shown, the computed DFT total energy values come out to -30.9, -49.9, -13.6, -15.1, -3.1, -15.9, -107.6, -75.1 eV/f.u..